Entry from Alexandria via LeMat-Bulk: an optimized crystal structure of Pa2ZnPbO8 (PBE).

Summary:
Total DFT energy (no corrections): -7.78 eV/atom
Energy relative to the elements, uncorrected: -2479 meV/atom
SG: No. 65
Calculated density: 8.19 g cm⁻³

extended XYZ file:
```
12
Lattice="4.976 -0.020 -0.003 0.013 4.977 -0.005 0.004 0.008 7.059" Properties=species:S:1:pos:R:3 pbc="T T T"
Zn 0.000 0.000 0.000
O 0.981 4.005 1.780
O 3.423 3.403 3.524
O 3.444 3.423 -0.006
O 0.983 4.008 5.269
O 4.013 0.960 5.271
O 1.546 1.535 -0.003
O 4.010 0.957 1.781
Pa 2.496 2.481 1.721
Pb 0.002 0.004 3.529
O 1.571 1.562 3.527
Pa 2.498 2.485 5.329
```